# PBE-GGA Mg4SbBr, relaxed
data_Mg4SbBr
_chemical_formula_sum 'Mg16 Sb4 Br4'
_symmetry_space_group_name_H-M 'F -4 3 m'
_symmetry_Int_Tables_number 216
_symmetry_space_group_name_Hall 'F -4 2 3'
_cell_length_a 8.427
_cell_length_b 8.427
_cell_length_c 8.427
_cell_angle_alpha 90.00
_cell_angle_beta 90.00
_cell_angle_gamma 90.00
loop_
_atom_site_label
_atom_site_fract_x
_atom_site_fract_y
_atom_site_fract_z
Mg1 0.123 0.123 0.123
Sb1 0.250 0.250 0.750
Br1 0.000 0.000 0.500
# * ρ: 3.317 g/cm³
# * raw formation energy: -74 meV per atom
# * N(E_F): 10.5 states/eV/cell

# PBE-GGA Ca3ScHg, relaxed
data_Ca3ScHg
_chemical_formula_sum 'Ca3 Sc1 Hg1'
_symmetry_space_group_name_H-M 'P m -3 m'
_symmetry_Int_Tables_number 221
_symmetry_space_group_name_Hall '-P 4 2 3'
_cell_length_a 5.810
_cell_length_b 5.810
_cell_length_c 5.810
_cell_angle_alpha 90.00
_cell_angle_beta 90.00
_cell_angle_gamma 90.00
loop_
_atom_site_label
_atom_site_fract_x
_atom_site_fract_y
_atom_site_fract_z
Ca1 0.000 0.000 0.500
Sc1 0.500 0.500 0.500
Hg1 0.000 0.000 0.000
# * ρ: 3.098 g/cm³
# * formation energy: 203 meV/atom
# * energy above the lowest structure with this stoichiometry: 0.0 meV per atom
# * N(E_F): 5.7 states/eV/cell

# PBE-GGA LaInRh, relaxed
data_LaInRh
_chemical_formula_sum 'La4 In4 Rh4'
_symmetry_space_group_name_H-M 'F -4 3 m'
_symmetry_Int_Tables_number 216
_symmetry_space_group_name_Hall 'F -4 2 3'
_cell_length_a 6.810
_cell_length_b 6.810
_cell_length_c 6.810
_cell_angle_alpha 90.00
_cell_angle_beta 90.00
_cell_angle_gamma 90.00
loop_
_atom_site_label
_atom_site_fract_x
_atom_site_fract_y
_atom_site_fract_z
La1 0.000 0.000 0.000
In1 0.000 0.000 0.500
Rh1 0.250 0.250 0.250
# * ρ: 7.502 g/cm³
# * formation energy: -589 meV/atom
# * N(E_F): 8.0 states/eV/cell

# PBE-GGA Pr2PtO4, relaxed
data_Pr2PtO4
_chemical_formula_sum 'Pr8 Pt4 O16'
_symmetry_space_group_name_H-M 'C m c e'
_symmetry_Int_Tables_number 64
_symmetry_space_group_name_Hall '-C 2ac 2'
_cell_length_a 13.057
_cell_length_b 5.726
_cell_length_c 5.723
_cell_angle_alpha 90.00
_cell_angle_beta 90.00
_cell_angle_gamma 90.00
loop_
_atom_site_label
_atom_site_fract_x
_atom_site_fract_y
_atom_site_fract_z
Pr1 0.157 0.000 0.000
Pt1 0.000 0.000 0.500
O1 0.000 0.184 0.184
O2 0.250 0.241 0.750
# * ρ: 8.397 g/cm³
# * raw formation energy: -2484 meV per atom

# PBE-GGA SmAl2Ag2, relaxed
data_SmAl2Ag2
_chemical_formula_sum 'Sm2 Al4 Ag4'
_symmetry_space_group_name_H-M 'I 4/m m m'
_symmetry_Int_Tables_number 139
_symmetry_space_group_name_Hall '-I 4 2'
_cell_length_a 4.405
_cell_length_b 4.405
_cell_length_c 10.689
_cell_angle_alpha 90.00
_cell_angle_beta 90.00
_cell_angle_gamma 90.00
loop_
_atom_site_label
_atom_site_fract_x
_atom_site_fract_y
_atom_site_fract_z
Sm1 0.000 0.000 0.000
Al1 0.000 0.000 0.382
Ag1 0.000 0.500 0.250
# * ρ: 6.725 g/cm³
# * formation energy: -329 meV/atom
# * energy above the lowest structure with this stoichiometry: 0.0 meV per atom
# * N(E_F): 5.6 states/eV/cell

# PBE-GGA La3HoS4, relaxed
data_La3HoS4
_chemical_formula_sum 'La6 Ho2 S8'
_symmetry_space_group_name_H-M 'C m m m'
_symmetry_Int_Tables_number 65
_symmetry_space_group_name_Hall '-C 2 2'
_cell_length_a 8.241
_cell_length_b 11.578
_cell_length_c 4.059
_cell_angle_alpha 90.00
_cell_angle_beta 90.00
_cell_angle_gamma 90.00
loop_
_atom_site_label
_atom_site_fract_x
_atom_site_fract_y
_atom_site_fract_z
La1 0.000 0.000 0.000
La2 0.250 0.250 0.500
Ho1 0.000 0.500 0.000
S1 0.000 0.258 0.000
S2 0.234 0.500 0.500
# * ρ: 6.087 g/cm³
# * raw formation energy: -2111 meV per atom
# * energy above the lowest structure with this stoichiometry: 3.8 meV per atom
# * N(E_F): 10.3 states/eV/cell

# PBE-GGA Zn2OsRu, relaxed
data_Zn2OsRu
_chemical_formula_sum 'Zn2 Os1 Ru1'
_symmetry_space_group_name_H-M 'P m m 2'
_symmetry_Int_Tables_number 25
_cell_length_a 2.781
_cell_length_b 3.686
_cell_length_c 5.537
_cell_angle_alpha 90.00
_cell_angle_beta 90.00
_cell_angle_gamma 90.00
loop_
_symmetry_equiv_pos_as_xyz
'x,y,z'
'-x,-y,z'
'-x,y,z'
'x,-y,z'
loop_
_atom_site_label
_atom_site_fract_x
_atom_site_fract_y
_atom_site_fract_z
Zn1 0.000 0.000 0.000
Zn2 0.500 0.500 0.233
Os1 0.000 0.000 0.506
Ru1 0.500 0.500 0.726
# * ρ: 12.352 g/cm³
# * formation energy: 94 meV/atom
# * energy above the lowest structure with this stoichiometry: 91.4 meV per atom
# * N(E_F): 2.3 states/eV/cell

# PBE-GGA Sr2SbMo, relaxed
data_Sr2SbMo
_chemical_formula_sum 'Sr4 Sb2 Mo2'
_symmetry_space_group_name_H-M 'A m m 2'
_symmetry_Int_Tables_number 38
_cell_length_a 4.376
_cell_length_b 4.962
_cell_length_c 12.365
_cell_angle_alpha 90.00
_cell_angle_beta 90.00
_cell_angle_gamma 90.00
loop_
_symmetry_equiv_pos_as_xyz
'x,y,z'
'-x,-y,z'
'-x,y,z'
'x,-y,z'
'x,y+1/2,z+1/2'
'-x,-y+1/2,z+1/2'
'-x,y+1/2,z+1/2'
'x,-y+1/2,z+1/2'
loop_
_atom_site_label
_atom_site_fract_x
_atom_site_fract_y
_atom_site_fract_z
Sr1 0.000 0.000 0.000
Sr2 0.500 0.000 0.288
Sb1 0.500 0.000 0.579
Mo1 0.000 0.000 0.713
# * ρ: 4.860 g/cm³
# * raw formation energy: 129 meV per atom
# * N(E_F): 8.3 states/eV/cell

# PBE-GGA ReIr4Pb, relaxed
data_ReIr4Pb
_chemical_formula_sum 'Re4 Ir16 Pb4'
_symmetry_space_group_name_H-M 'F -4 3 m'
_symmetry_Int_Tables_number 216
_symmetry_space_group_name_Hall 'F -4 2 3'
_cell_length_a 7.428
_cell_length_b 7.428
_cell_length_c 7.428
_cell_angle_alpha 90.00
_cell_angle_beta 90.00
_cell_angle_gamma 90.00
loop_
_atom_site_label
_atom_site_fract_x
_atom_site_fract_y
_atom_site_fract_z
Re1 0.000 0.000 0.000
Ir1 0.126 0.126 0.374
Pb1 0.250 0.250 0.750
# * ρ: 18.834 g/cm³
# * formation energy: 780 meV/atom
# * N(E_F): 36.4 states/eV/cell

# PBE-GGA HoTh5Pb4, relaxed
data_HoTh5Pb4
_chemical_formula_sum 'Ho2 Th10 Pb8'
_symmetry_space_group_name_H-M 'C 1 2/m 1'
_symmetry_Int_Tables_number 12
_cell_length_a 16.392
_cell_length_b 5.621
_cell_length_c 6.821
_cell_angle_alpha 90.00
_cell_angle_beta 105.02
_cell_angle_gamma 90.00
loop_
_symmetry_equiv_pos_as_xyz
'x,y,z'
'-x,-y,-z'
'-x,y,-z'
'x,-y,z'
'x+1/2,y+1/2,z'
'-x+1/2,-y+1/2,-z'
'-x+1/2,y+1/2,-z'
'x+1/2,-y+1/2,z'
loop_
_atom_site_label
_atom_site_fract_x
_atom_site_fract_y
_atom_site_fract_z
Ho1 0.000 0.000 0.000
Th1 0.000 0.000 0.500
Th2 0.117 0.500 0.386
Th3 0.202 0.000 0.816
Pb1 0.086 0.500 0.850
Pb2 0.190 0.000 0.296
# * ρ: 11.784 g/cm³
# * formation energy: -252 meV/atom
# * N(E_F): 20.7 states/eV/cell

# PBE-GGA YbSiAg, relaxed
data_YbSiAg
_chemical_formula_sum 'Yb3 Si3 Ag3'
_symmetry_space_group_name_H-M 'P -6 2 m'
_symmetry_Int_Tables_number 189
_symmetry_space_group_name_Hall 'P -6 -2'
_cell_length_a 7.0263
_cell_length_b 7.0263
_cell_length_c 4.2660
_cell_angle_alpha 90.00
_cell_angle_beta 90.00
_cell_angle_gamma 120.00
loop_
_atom_site_label
_atom_site_fract_x
_atom_site_fract_y
_atom_site_fract_z
Yb1 0.0000 0.5774 0.0000
Si1 0.0000 0.0000 0.0000
Si2 0.3333 0.6667 0.5000
Ag1 0.0000 0.2455 0.5000
# * ρ: 8.439 g/cm³
# * raw formation energy: -426 meV per atom
# * N(E_F): 40.5 states/eV/cell

# PBE-GGA Sm5PuP6, relaxed
data_Sm5PuP6
_chemical_formula_sum 'Sm10 Pu2 P12'
_symmetry_space_group_name_H-M 'C 1 2/m 1'
_symmetry_Int_Tables_number 12
_cell_length_a 7.078
_cell_length_b 12.256
_cell_length_c 7.078
_cell_angle_alpha 90.00
_cell_angle_beta 109.49
_cell_angle_gamma 90.00
loop_
_symmetry_equiv_pos_as_xyz
'x,y,z'
'-x,-y,-z'
'-x,y,-z'
'x,-y,z'
'x+1/2,y+1/2,z'
'-x+1/2,-y+1/2,-z'
'-x+1/2,y+1/2,-z'
'x+1/2,-y+1/2,z'
loop_
_atom_site_label
_atom_site_fract_x
_atom_site_fract_y
_atom_site_fract_z
Sm1 0.000 0.000 0.000
Sm2 0.000 0.166 0.500
Sm3 0.000 0.332 0.000
Pu1 0.000 0.500 0.500
P1 0.244 0.500 0.254
P2 0.245 0.337 0.746
# * ρ: 6.779 g/cm³
# * formation energy: -1492 meV/atom
# * N(E_F): 26.7 states/eV/cell

# PBE-GGA FeBrCl4, relaxed
data_FeBrCl4
_chemical_formula_sum 'Fe4 Br4 Cl16'
_symmetry_space_group_name_H-M 'F -4 3 m'
_symmetry_Int_Tables_number 216
_symmetry_space_group_name_Hall 'F -4 2 3'
_cell_length_a 8.144
_cell_length_b 8.144
_cell_length_c 8.144
_cell_angle_alpha 90.00
_cell_angle_beta 90.00
_cell_angle_gamma 90.00
loop_
_atom_site_label
_atom_site_fract_x
_atom_site_fract_y
_atom_site_fract_z
Fe1 0.000 0.000 0.000
Br1 0.250 0.250 0.750
Cl1 0.125 0.125 0.375
# * ρ: 3.413 g/cm³
# * raw formation energy: 836 meV per atom
# * energy above the lowest structure with this stoichiometry: 1288.1 meV per atom
# * N(E_F): 34.7 states/eV/cell

# PBE-GGA RbGa2Co, relaxed
data_RbGa2Co
_chemical_formula_sum 'Rb4 Ga8 Co4'
_symmetry_space_group_name_H-M 'F m -3 m'
_symmetry_Int_Tables_number 225
_symmetry_space_group_name_Hall '-F 4 2 3'
_cell_length_a 7.058
_cell_length_b 7.058
_cell_length_c 7.058
_cell_angle_alpha 90.00
_cell_angle_beta 90.00
_cell_angle_gamma 90.00
loop_
_atom_site_label
_atom_site_fract_x
_atom_site_fract_y
_atom_site_fract_z
Rb1 0.000 0.000 0.000
Ga1 0.250 0.250 0.250
Co1 0.000 0.000 0.500
# * ρ: 5.363 g/cm³
# * formation energy: 761 meV/atom
# * energy above the lowest structure with this stoichiometry: 671.9 meV per atom
# * N(E_F): 29.1 states/eV/cell

# PBE-GGA Eu2PuGe, relaxed
data_Eu2PuGe
_chemical_formula_sum 'Eu6 Pu3 Ge3'
_symmetry_space_group_name_H-M 'R -3 m'
_symmetry_Int_Tables_number 166
_symmetry_space_group_name_Hall '-R 3 2"'
_cell_length_a 3.5864
_cell_length_b 3.5864
_cell_length_c 34.3412
_cell_angle_alpha 90.00
_cell_angle_beta 90.00
_cell_angle_gamma 120.00
loop_
_atom_site_label
_atom_site_fract_x
_atom_site_fract_y
_atom_site_fract_z
Eu1 0.0000 0.0000 0.1005
Pu1 0.0000 0.0000 0.0000
Ge1 0.0000 0.0000 0.5000
# * ρ: 8.082 g/cm³
# * formation energy: 114 meV/atom
# * N(E_F): 37.6 states/eV/cell

# PBE-GGA Li3Zn5H12, relaxed
data_Li3Zn5H12
_chemical_formula_sum 'Li24 Zn40 H96'
_symmetry_space_group_name_H-M 'I a -3 d'
_symmetry_Int_Tables_number 230
_symmetry_space_group_name_Hall '-I 4bd 2c 3'
_cell_length_a 11.432
_cell_length_b 11.432
_cell_length_c 11.432
_cell_angle_alpha 90.00
_cell_angle_beta 90.00
_cell_angle_gamma 90.00
loop_
_atom_site_label
_atom_site_fract_x
_atom_site_fract_y
_atom_site_fract_z
Li1 0.000 0.250 0.125
Zn1 0.000 0.000 0.000
Zn2 0.000 0.250 0.375
H1 0.029 0.054 0.650
# * E_tot: -2.600 eV/atom
# * ρ: 3.200 g/cm³
# * N(E_F): 2.5 states/eV/cell

# PBE-GGA Y2AlAs, relaxed
data_Y2AlAs
_chemical_formula_sum 'Y8 Al4 As4'
_symmetry_space_group_name_H-M 'I -4 2 d'
_symmetry_Int_Tables_number 122
_symmetry_space_group_name_Hall 'I -4 2bw'
_cell_length_a 7.831
_cell_length_b 7.831
_cell_length_c 6.761
_cell_angle_alpha 90.00
_cell_angle_beta 90.00
_cell_angle_gamma 90.00
loop_
_atom_site_label
_atom_site_fract_x
_atom_site_fract_y
_atom_site_fract_z
Y1 0.231 0.250 0.125
Al1 0.000 0.000 0.500
As1 0.000 0.000 0.000
# * ρ: 4.482 g/cm³
# * formation energy: -506 meV/atom
# * energy above the lowest structure with this stoichiometry: 374.7 meV per atom
# * N(E_F): 5.4 states/eV/cell

# PBE-GGA LiSnP3O9, relaxed
data_LiSnP3O9
_chemical_formula_sum 'Li2 Sn2 P6 O18'
_symmetry_space_group_name_H-M 'P -1'
_symmetry_Int_Tables_number 2
_cell_length_a 6.953
_cell_length_b 7.345
_cell_length_c 7.549
_cell_angle_alpha 85.18
_cell_angle_beta 76.20
_cell_angle_gamma 83.19
loop_
_symmetry_equiv_pos_as_xyz
'x,y,z'
'-x,-y,-z'
loop_
_atom_site_label
_atom_site_fract_x
_atom_site_fract_y
_atom_site_fract_z
Li1 0.089 0.167 0.174
Sn1 0.424 0.766 0.846
P1 0.083 0.620 0.227
P2 0.262 0.840 0.452
P3 0.340 0.284 0.773
O1 0.128 0.420 0.203
O2 0.141 0.755 0.063
O3 0.151 0.328 0.684
O4 0.175 0.667 0.393
O5 0.203 0.836 0.660
O6 0.220 0.012 0.343
O7 0.310 0.126 0.915
O8 0.405 0.455 0.828
O9 0.499 0.220 0.588
# * ρ: 3.244 g/cm³
# * raw formation energy: -2073 meV per atom
# * N(E_F): 0.0 states/eV/cell

# PBE-GGA Cd2GaSe, relaxed
data_Cd2GaSe
_chemical_formula_sum 'Cd8 Ga4 Se4'
_symmetry_space_group_name_H-M 'F m -3 m'
_symmetry_Int_Tables_number 225
_symmetry_space_group_name_Hall '-F 4 2 3'
_cell_length_a 7.195
_cell_length_b 7.195
_cell_length_c 7.195
_cell_angle_alpha 90.00
_cell_angle_beta 90.00
_cell_angle_gamma 90.00
loop_
_atom_site_label
_atom_site_fract_x
_atom_site_fract_y
_atom_site_fract_z
Cd1 0.250 0.250 0.250
Ga1 0.000 0.000 0.000
Se1 0.000 0.000 0.500
# * ρ: 6.660 g/cm³
# * raw formation energy: 87 meV per atom
# * energy above the lowest structure with this stoichiometry: 194.8 meV per atom
# * N(E_F): 14.9 states/eV/cell

# PBE-GGA PuPd2Pb, relaxed
data_PuPd2Pb
_chemical_formula_sum 'Pu2 Pd4 Pb2'
_symmetry_space_group_name_H-M 'P m m a'
_symmetry_Int_Tables_number 51
_cell_length_a 5.752
_cell_length_b 4.278
_cell_length_c 7.263
_cell_angle_alpha 90.00
_cell_angle_beta 90.00
_cell_angle_gamma 90.00
loop_
_symmetry_equiv_pos_as_xyz
'x,y,z'
'-x,-y,-z'
'-x+1/2,-y,z'
'x+1/2,y,-z'
'x+1/2,-y,-z'
'-x+1/2,y,z'
'-x,y,-z'
'x,-y,z'
loop_
_atom_site_label
_atom_site_fract_x
_atom_site_fract_y
_atom_site_fract_z
Pu1 0.250 0.000 0.247
Pd1 0.000 0.500 0.000
Pd2 0.250 0.000 0.847
Pb1 0.250 0.500 0.612
# * ρ: 12.339 g/cm³
# * formation energy: -395 meV/atom
# * N(E_F): 32.2 states/eV/cell